{"formula": "ZrSc2Se", "functional": "GGA-PBE", "state": "optimized geometry", "total_energy_ev_per_fu": -25.0, "m_tot_mub_per_atom": 0.4125, "crystal_system": "cubic", "raw_formation_energy_ev_per_fu": -0.28, "lattice": [[0.000, 3.484, 3.484], [3.484, 0.000, 3.484], [3.484, 3.484, 0.000]], "species": ["Zr", "Sc", "Sc", "Se"], "frac_coords": [[0.000, 0.000, 0.000], [0.500, 0.500, 0.500], [0.750, 0.750, 0.750], [0.250, 0.250, 0.250]]}

***

{"formula": "Nd3TaPd12", "functional": "GGA-PBE", "state": "optimized geometry", "total_energy_ev_per_fu": -99.7, "m_tot_mub_per_atom": 0.0000, "crystal_system": "tetragonal", "formation_energy_kcal_per_mol_atoms": -16.2, "lattice": [[4.143, 0.000, 0.000], [0.000, 4.143, 0.000], [0.000, 0.000, 16.544]], "species": ["Nd", "Nd", "Nd", "Ta", "Pd", "Pd", "Pd", "Pd", "Pd", "Pd", "Pd", "Pd", "Pd", "Pd", "Pd", "Pd"], "frac_coords": [[0.000, 0.000, 0.000], [0.000, 0.000, 0.253], [0.000, 0.000, 0.747], [0.000, 0.000, 0.500], [0.000, 0.500, 0.129], [0.000, 0.500, 0.390], [0.000, 0.500, 0.610], [0.000, 0.500, 0.871], [0.500, 0.000, 0.129], [0.500, 0.000, 0.390], [0.500, 0.000, 0.610], [0.500, 0.000, 0.871], [0.500, 0.500, 0.000], [0.500, 0.500, 0.260], [0.500, 0.500, 0.500], [0.500, 0.500, 0.740]]}

***

{"formula": "CaMgCu2", "functional": "GGA-PBE", "state": "optimized geometry", "total_energy_ev_per_fu": -12.0, "m_tot_mub_per_atom": 0.0000, "crystal_system": "trigonal", "formation_energy_kcal_per_mol_atoms": -1.4, "lattice": [[2.145, 1.239, 5.383], [-2.145, 1.239, 5.383], [0.000, -2.477, 5.383]], "species": ["Ca", "Mg", "Cu", "Cu"], "frac_coords": [[0.000, 0.000, 0.000], [0.810, 0.810, 0.810], [0.210, 0.210, 0.210], [0.547, 0.547, 0.547]]}